Record 1
Mg4Sc3Cd2: relaxed, PBE-GGA. Values from VASP.

* E_form: -12 kJ/mol of atoms
* total magnetic moment: 0.0 μB per cell
* symmetry: No. 12
* crystal system: monoclinic

The structure in Quantum ESPRESSO input format:
```
&SYSTEM
  ibrav = 0, nat = 9, ntyp = 3
/
ATOMIC_SPECIES
Mg 24.30 Mg.upf
Sc 44.96 Sc.upf
Cd 112.41 Cd.upf
CELL_PARAMETERS angstrom
4.9567 0.0000 0.0000
-2.4783 4.9573 -2.0289
0.0000 -1.7540 8.9822
ATOMIC_POSITIONS crystal
Mg 0.7147 0.4295 0.0513
Mg 0.0618 0.1236 0.3925
Mg 0.9382 0.8764 0.6075
Mg 0.2853 0.5705 0.9487
Sc 0.6660 0.3321 0.6667
Sc 0.0000 0.0000 0.0000
Sc 0.3340 0.6679 0.3333
Cd 0.3896 0.7791 0.7227
Cd 0.6104 0.2209 0.2773
```

---

Record 2
K2RbGaSn2: relaxed, PBE-GGA. Values from VASP.

* E_form: -7 kJ/mol of atoms
* total magnetic moment: 0.0 μB per cell
* symmetry: No. 26
* crystal system: orthorhombic

The structure in Quantum ESPRESSO input format:
```
&SYSTEM
  ibrav = 0, nat = 12, ntyp = 4
/
ATOMIC_SPECIES
K 39.10 K.upf
Rb 85.47 Rb.upf
Ga 69.72 Ga.upf
Sn 118.71 Sn.upf
CELL_PARAMETERS angstrom
4.5683 0.0000 0.0000
0.0000 10.9591 0.0000
0.0000 0.0000 9.6955
ATOMIC_POSITIONS crystal
K 0.0000 0.3821 0.1910
K 0.5000 0.0500 0.0964
K 0.5000 0.5500 0.9036
K 0.0000 0.8821 0.8090
Rb 0.0000 0.9680 0.4390
Rb 0.0000 0.4680 0.5610
Ga 0.5000 0.1980 0.7089
Ga 0.5000 0.6980 0.2911
Sn 0.5000 0.2280 0.4350
Sn 0.5000 0.7280 0.5650
Sn 0.0000 0.2196 0.8593
Sn 0.0000 0.7196 0.1407
```

---

Record 3
Tb2GdSc: relaxed, PBE-GGA. Values from VASP.

* E_form: 13 kJ/mol of atoms
* total magnetic moment: 8.1 μB per cell
* symmetry: No. 225
* crystal system: cubic

The structure in Quantum ESPRESSO input format:
```
&SYSTEM
  ibrav = 0, nat = 4, ntyp = 3
/
ATOMIC_SPECIES
Tb 158.93 Tb.upf
Gd 157.25 Gd.upf
Sc 44.96 Sc.upf
CELL_PARAMETERS angstrom
5.5538 0.0000 0.0000
2.7769 4.8097 0.0000
2.7769 1.6032 4.5346
ATOMIC_POSITIONS crystal
Tb 0.7500 0.7500 0.7500
Tb 0.2500 0.2500 0.2500
Gd 0.0000 0.0000 0.0000
Sc 0.5000 0.5000 0.5000
```

---

Record 4
Zn2SiW: relaxed, PBE-GGA. Values from VASP.

* raw formation energy: 0.24 eV/atom
* total magnetic moment: 0.0 μB per cell
* symmetry: No. 123
* crystal system: tetragonal

The structure in Quantum ESPRESSO input format:
```
&SYSTEM
  ibrav = 0, nat = 4, ntyp = 3
/
ATOMIC_SPECIES
W 183.84 W.upf
Zn 65.41 Zn.upf
Si 28.09 Si.upf
CELL_PARAMETERS angstrom
4.4082 0.0000 0.0000
0.0000 3.6169 0.0000
0.0000 0.0000 3.6169
ATOMIC_POSITIONS crystal
W 0.5000 0.0000 0.5000
Zn 0.0000 0.0000 0.0000
Zn 0.0000 0.5000 0.5000
Si 0.5000 0.5000 0.0000
```

---

Record 5
K6PdAu3: relaxed, PBE-GGA. Values from VASP.

* E_form: -14 kJ/mol of atoms
* total magnetic moment: 0.0 μB per cell
* symmetry: No. 14
* crystal system: monoclinic

The structure in Quantum ESPRESSO input format:
```
&SYSTEM
  ibrav = 0, nat = 20, ntyp = 3
/
ATOMIC_SPECIES
Au 196.97 Au.upf
K 39.10 K.upf
Pd 106.42 Pd.upf
CELL_PARAMETERS angstrom
-5.6147 1.8354 2.4742
-4.2349 -7.8228 -3.8071
2.2710 -5.0823 8.9235
ATOMIC_POSITIONS crystal
Au 0.6504 0.5187 0.7450
Au 0.1504 0.9813 0.7550
Au 0.0000 0.0000 0.5000
Au 0.3496 0.4813 0.2550
Au 0.8496 0.0187 0.2450
Au 0.5000 0.5000 0.0000
K 0.2730 0.8332 0.2453
K 0.2270 0.3332 0.7453
K 0.9332 0.3344 0.4241
K 0.5668 0.8344 0.9241
K 0.0597 0.6703 0.9215
K 0.7270 0.1668 0.7547
K 0.5597 0.8297 0.5785
K 0.4332 0.1656 0.0759
K 0.0668 0.6656 0.5759
K 0.4403 0.1703 0.4215
K 0.9403 0.3297 0.0785
K 0.7730 0.6668 0.2547
Pd 0.0000 0.0000 0.0000
Pd 0.5000 0.5000 0.5000
```

---

Record 6
SrAsPCl2: relaxed, PBE-GGA. Values from VASP.

* raw formation energy: -0.01 eV/atom
* total magnetic moment: 0.8 μB per cell
* symmetry: No. 123
* crystal system: tetragonal

The structure in Quantum ESPRESSO input format:
```
&SYSTEM
  ibrav = 0, nat = 5, ntyp = 4
/
ATOMIC_SPECIES
Sr 87.62 Sr.upf
P 30.97 P.upf
As 74.92 As.upf
Cl 35.45 Cl.upf
CELL_PARAMETERS angstrom
-1.2690 4.9175 -1.5863
-4.8727 -0.5955 2.0521
2.0542 2.3208 5.5512
ATOMIC_POSITIONS crystal
Sr 0.0000 0.0000 0.0000
P 0.0000 0.0000 0.5000
As 0.5000 0.5000 0.5000
Cl 0.5000 0.0000 0.0000
Cl 0.0000 0.5000 0.0000
```

---

Record 7
TlHgSCl2: relaxed, PBE-GGA. Values from VASP.

* raw formation energy: -0.03 eV/atom
* total magnetic moment: 0.0 μB per cell
* symmetry: No. 123
* crystal system: tetragonal

The structure in Quantum ESPRESSO input format:
```
&SYSTEM
  ibrav = 0, nat = 5, ntyp = 4
/
ATOMIC_SPECIES
Tl 204.38 Tl.upf
Cl 35.45 Cl.upf
S 32.06 S.upf
Hg 200.59 Hg.upf
CELL_PARAMETERS angstrom
-1.9962 -4.8616 0.1861
0.5143 -0.0109 5.2335
-4.9042 2.0323 0.4861
ATOMIC_POSITIONS crystal
Tl 0.0000 0.0000 0.0000
Cl 0.0000 0.5000 0.0000
Cl 0.5000 0.0000 0.0000
S 0.0000 0.0000 0.5000
Hg 0.5000 0.5000 0.5000
```

---

Record 8
LiPdBr2: relaxed, PBE-GGA. Values from VASP.

* raw formation energy: -0.63 eV/atom
* total magnetic moment: 2.0 μB per cell
* symmetry: No. 122
* crystal system: tetragonal

The structure in Quantum ESPRESSO input format:
```
&SYSTEM
  ibrav = 0, nat = 8, ntyp = 3
/
ATOMIC_SPECIES
Br 79.90 Br.upf
Li 6.94 Li.upf
Pd 106.42 Pd.upf
CELL_PARAMETERS angstrom
-4.7200 0.6453 -3.4152
1.9663 -4.2536 -3.5213
-4.3994 -6.0026 -0.0843
ATOMIC_POSITIONS crystal
Br 0.3750 0.3836 0.7500
Br 0.8750 0.8664 0.7500
Br 0.6164 0.1250 0.2500
Br 0.1336 0.6250 0.2500
Li 0.5000 0.5000 0.0000
Li 0.2500 0.7500 0.5000
Pd 0.0000 0.0000 0.0000
Pd 0.7500 0.2500 0.5000
```